Record 1
This record from Alexandria describes a relaxed NdDyZr crystal. The functional is GGA-PBE.

Lattice parameters (Å, degrees): 3.873 3.873 12.029 90.00 90.00 90.00
Atoms (fractional coordinates):
Dy 0.500 0.000 0.410
Dy 0.000 0.500 0.590
Nd 0.500 0.000 0.784
Nd 0.000 0.500 0.216
Zr 0.000 0.500 0.947
Zr 0.500 0.000 0.053

Output
- energy above the most stable polymorph in this dataset (meV/atom) = 12
- calculated density (Mg/m³) = 7.33

Record 2
This record from Alexandria describes a relaxed Nd2Dy8Zr crystal. The functional is GGA-PBE.

Lattice parameters (Å, degrees): 4.977 7.909 9.341 104.62 105.45 90.00
Atoms (fractional coordinates):
Dy 0.130 0.171 0.261
Dy 0.678 0.909 0.356
Dy 0.870 0.829 0.739
Dy 0.043 0.737 0.087
Dy 0.588 0.442 0.176
Dy 0.412 0.558 0.824
Dy 0.322 0.091 0.644
Dy 0.957 0.263 0.913
Zr 0.500 0.000 0.000
Nd 0.774 0.365 0.548
Nd 0.226 0.635 0.452

Output
- calculated density (Mg/m³) = 8.15

Record 3
This record from Alexandria describes a relaxed NdDyZr crystal. The functional is GGA-PBE.

Lattice parameters (Å, degrees): 3.414 3.414 7.920 102.45 102.45 90.00
Atoms (fractional coordinates):
Nd 0.991 0.991 0.981
Zr 0.330 0.330 0.659
Dy 0.680 0.680 0.359

Output
- energy above the most stable polymorph in this dataset (meV/atom) = 0
- calculated density (Mg/m³) = 7.52

Record 4
This record from Alexandria describes a relaxed NdDyZr2 crystal. The functional is GGA-PBE.

Lattice parameters (Å, degrees): 3.372 3.372 11.212 81.35 81.35 60.00
Atoms (fractional coordinates):
Zr 0.251 0.251 0.247
Zr 0.749 0.749 0.753
Dy 0.000 0.000 0.000
Nd 0.500 0.500 0.500

Output
- energy above the most stable polymorph in this dataset (meV/atom) = 4
- calculated density (Mg/m³) = 7.47

Record 5
This record from Alexandria describes a relaxed NdDyZr crystal. The functional is GGA-PBE.

Lattice parameters (Å, degrees): 3.448 3.448 8.522 90.00 90.00 120.00
Atoms (fractional coordinates):
Zr 0.667 0.333 0.337
Dy 0.333 0.667 0.645
Nd 0.000 0.000 0.018

Output
- energy above the most stable polymorph in this dataset (meV/atom) = 13
- calculated density (Mg/m³) = 7.53

Record 6
This record from Alexandria describes a relaxed Nd3Dy12Zr crystal. The functional is GGA-PBE.

Lattice parameters (Å, degrees): 5.010 5.010 20.046 90.00 90.00 90.00
Atoms (fractional coordinates):
Dy 0.500 0.000 0.116
Dy 0.000 0.500 0.884
Dy 0.500 0.000 0.884
Dy 0.500 0.000 0.628
Dy 0.500 0.500 0.755
Dy 0.500 0.500 0.245
Dy 0.000 0.500 0.628
Dy 0.500 0.500 0.000
Dy 0.000 0.500 0.116
Dy 0.500 0.000 0.372
Dy 0.500 0.500 0.500
Dy 0.000 0.500 0.372
Nd 0.000 0.000 0.247
Nd 0.000 0.000 0.500
Nd 0.000 0.000 0.753
Zr 0.000 0.000 0.000

Output
- calculated density (Mg/m³) = 8.16

| no. | uncorrected energy (eV/cell) | ΔE_f (eV/atom) |
| --- | --- | --- |
| 1 | -35.141 | 0.1159 |
| 2 | -54.424 | 0.0433 |
| 3 | -17.608 | 0.1034 |
| 4 | -25.790 | 0.1691 |
| 5 | -17.569 | 0.1163 |
| 6 | -77.474 | 0.0377 |